Material: LaPuNpO6
Method: DFT, PBE-GGA
State: optimized geometry

Summary:
**Total moment**: 12.00 Bohr magnetons per cell
**Mass density**: 8.43 g cm⁻³
**DOS(E_F)**: 8.9 states/eV/f.u.
**ΔE_f (raw)**: -3.018 eV per atom

CIF file:
```
data_LaPuNpO6
_chemical_formula_sum 'La2 Pu2 Np2 O12'
_space_group_name_H-M_alt 'P -3 1 c'
_space_group_IT_number 163
_space_group_name_Hall '-P 3 2c'
_cell_length_a 5.9621
_cell_length_b 5.9621
_cell_length_c 9.1578
_cell_angle_alpha 90.00
_cell_angle_beta 90.00
_cell_angle_gamma 120.00
loop_
_atom_site_label
_atom_site_type_symbol
_atom_site_fract_x
_atom_site_fract_y
_atom_site_fract_z
La1 La 0.3333 0.6667 0.2500
Pu1 Pu 0.0000 0.0000 0.0000
Np1 Np 0.3333 0.6667 0.7500
O1 O 0.0393 0.3536 0.6286
```